[1]
# AsIrCl2 PBE-GGA optimized geometry
data_AsIrCl2
_symmetry_space_group_name_H-M 'P 1'
_symmetry_Int_Tables_number 1
_cell_length_a 3.713
_cell_length_b 4.049
_cell_length_c 7.682
_cell_angle_alpha 93.62
_cell_angle_beta 97.77
_cell_angle_gamma 107.98
loop_
_symmetry_equiv_pos_as_xyz
'x,y,z'
loop_
_atom_site_label
_atom_site_fract_x
_atom_site_fract_y
_atom_site_fract_z
_atom_site_occupancy
As1 0.000 0.000 0.000 1
Ir1 0.621 0.366 0.968 1
Cl1 0.480 0.304 0.666 1
Cl2 0.864 0.683 0.260 1
# ΔE to the lowest computed polymorph   223 meV/atom
# Formation energy (no corrections)   -247 meV/atom
# D(E_F)   0.79 states/eV per cell

[2]
# NbRu2N PBE-GGA optimized geometry
data_NbRu2N
_symmetry_space_group_name_H-M 'I -4 2 d'
_symmetry_Int_Tables_number 122
_symmetry_space_group_name_Hall 'I -4 2bw'
_cell_length_a 5.374
_cell_length_b 5.374
_cell_length_c 8.862
_cell_angle_alpha 90.00
_cell_angle_beta 90.00
_cell_angle_gamma 90.00
loop_
_atom_site_label
_atom_site_fract_x
_atom_site_fract_y
_atom_site_fract_z
_atom_site_occupancy
Nb1 0.000 0.000 0.000 1
Ru1 0.153 0.250 0.625 1
N1 0.000 0.000 0.500 1
# Formation energy (no corrections)   311 meV/atom
# D(E_F)   0.32 states/eV per cell

[3]
# SrEuHoTl PBE-GGA optimized geometry
data_SrEuHoTl
_symmetry_space_group_name_H-M 'F -4 3 m'
_symmetry_Int_Tables_number 216
_symmetry_space_group_name_Hall 'F -4 2 3'
_cell_length_a 8.148
_cell_length_b 8.148
_cell_length_c 8.148
_cell_angle_alpha 90.00
_cell_angle_beta 90.00
_cell_angle_gamma 90.00
loop_
_atom_site_label
_atom_site_fract_x
_atom_site_fract_y
_atom_site_fract_z
_atom_site_occupancy
Sr1 0.000 0.000 0.000 1
Eu1 0.250 0.250 0.250 1
Ho1 0.000 0.000 0.500 1
Tl1 0.250 0.250 0.750 1
# Energy relative to the elements   -0.005 eV/atom
# D(E_F)   12.63 states/eV per cell

[4]
# SrNbVCr2 PBE-GGA optimized geometry
data_SrNbVCr2
_symmetry_space_group_name_H-M 'P 4/m m m'
_symmetry_Int_Tables_number 123
_symmetry_space_group_name_Hall '-P 4 2'
_cell_length_a 4.558
_cell_length_b 4.558
_cell_length_c 4.765
_cell_angle_alpha 90.00
_cell_angle_beta 90.00
_cell_angle_gamma 90.00
loop_
_atom_site_label
_atom_site_fract_x
_atom_site_fract_y
_atom_site_fract_z
_atom_site_occupancy
Sr1 0.000 0.000 0.000 1
Nb1 0.500 0.500 0.000 1
V1 0.500 0.500 0.500 1
Cr1 0.000 0.500 0.500 1
# Energy relative to the elements   1.177 eV/atom
# D(E_F)   10.03 states/eV per cell

[5]
# Na2CeThTe4 PBE-GGA optimized geometry
data_Na2CeThTe4
_symmetry_space_group_name_H-M 'P 1 2/m 1'
_symmetry_Int_Tables_number 10
_cell_length_a 7.790
_cell_length_b 4.481
_cell_length_c 8.079
_cell_angle_alpha 90.00
_cell_angle_beta 108.58
_cell_angle_gamma 90.00
loop_
_symmetry_equiv_pos_as_xyz
'x,y,z'
'-x,-y,-z'
'-x,y,-z'
'x,-y,z'
loop_
_atom_site_label
_atom_site_fract_x
_atom_site_fract_y
_atom_site_fract_z
_atom_site_occupancy
Na1 0.000 0.000 0.000 1
Na2 0.500 0.500 0.000 1
Ce1 0.000 0.500 0.500 1
Th1 0.500 0.000 0.500 1
Te1 0.252 0.000 0.743 1
Te2 0.256 0.500 0.257 1
# Formation energy (no corrections)   -1177 meV/atom
# D(E_F)   10.10 states/eV per cell

[6]
# AcTm4Cu5 PBE-GGA optimized geometry
data_AcTm4Cu5
_symmetry_space_group_name_H-M 'P 4/m m m'
_symmetry_Int_Tables_number 123
_symmetry_space_group_name_Hall '-P 4 2'
_cell_length_a 3.469
_cell_length_b 3.469
_cell_length_c 17.596
_cell_angle_alpha 90.00
_cell_angle_beta 90.00
_cell_angle_gamma 90.00
loop_
_atom_site_label
_atom_site_fract_x
_atom_site_fract_y
_atom_site_fract_z
_atom_site_occupancy
Ac1 0.000 0.000 0.000 1
Tm1 0.000 0.000 0.211 1
Tm2 0.000 0.000 0.404 1
Cu1 0.500 0.500 0.123 1
Cu2 0.500 0.500 0.306 1
Cu3 0.500 0.500 0.500 1
# Energy relative to the elements   -0.232 eV/atom
# D(E_F)   4.70 states/eV per cell

Which of these has the lowest D(E_F)? NbRu2N